Record 1
Compound: La2PPb
Source: Alexandria via LeMat-Bulk
Functional: GGA-PBE
Structure: relaxed

Geometry as POSCAR:
```
La2PPb
1.0
-2.351 2.938 4.223
2.351 -2.938 4.223
2.351 2.938 -4.223
La P Pb
2 1 1
Cartesian
0.000 0.000 1.907 La
0.000 0.000 6.539 La
2.351 0.000 0.000 P
0.000 2.938 0.000 Pb
```

Calculated values
energy above the lowest structure with this stoichiometry: 324 meV/atom
E: -21.91 eV/cell
symmetry: Immm (71)
formation energy from the elements: -71 kJ/mol of atoms


Record 2
Compound: KBiAsSe2
Source: Alexandria via LeMat-Bulk
Functional: GGA-PBE
Structure: relaxed

Geometry as POSCAR:
```
KBiAsSe2
1.0
5.403 0.000 0.000
0.000 5.403 0.000
0.000 0.000 6.188
K Bi As Se
1 1 1 2
Cartesian
0.000 0.000 0.000 K
0.000 0.000 3.094 Bi
2.702 2.702 3.094 As
0.000 2.702 0.000 Se
2.702 0.000 0.000 Se
```

Calculated values
energy above the lowest structure with this stoichiometry: 1224 meV/atom
E: -10.33 eV/cell
symmetry: P4/mmm (123)


Record 3
Compound: LiCd2Pb6
Source: Alexandria via LeMat-Bulk
Functional: GGA-PBE
Structure: relaxed

Geometry as POSCAR:
```
LiCd2Pb6
1.0
4.776 0.000 0.000
2.370 5.518 0.000
0.066 3.171 9.747
Li Cd Pb
1 2 6
Cartesian
0.000 0.000 0.000 Li
2.410 4.246 7.683 Cd
4.803 4.443 2.064 Cd
2.406 6.520 3.174 Pb
2.419 3.270 4.245 Pb
2.397 2.110 0.992 Pb
4.816 6.579 8.755 Pb
4.793 5.419 5.502 Pb
4.807 2.170 6.573 Pb
```

Calculated values
energy above the lowest structure with this stoichiometry: 0 meV/atom
E: -26.16 eV/cell
symmetry: P-1 (2)
formation energy from the elements: -2 kJ/mol of atoms


Record 4
Compound: Sc2PaCu
Source: Alexandria via LeMat-Bulk
Functional: GGA-PBE
Structure: relaxed

Geometry as POSCAR:
```
Sc2PaCu
1.0
1.551 0.896 10.307
-1.551 0.896 10.307
0.000 -1.791 10.307
Sc Pa Cu
2 1 1
Cartesian
0.000 0.000 3.035 Sc
0.000 0.000 27.886 Sc
0.000 0.000 0.000 Pa
0.000 0.000 15.461 Cu
```

Calculated values
E: -25.41 eV/cell
symmetry: R-3m (166)
formation energy from the elements: 20 kJ/mol of atoms


Record 5
Compound: Sm6GaP2Cl3
Source: Alexandria via LeMat-Bulk
Functional: GGA-PBE
Structure: relaxed

Geometry as POSCAR:
```
Sm6GaP2Cl3
1.0
9.107 -2.045 0.000
9.107 2.045 0.000
-1.995 0.000 8.141
Sm Ga P Cl
6 1 2 3
Cartesian
-0.354 0.000 1.999 Sm
5.048 0.000 3.531 Sm
4.378 0.000 7.270 Sm
11.840 0.000 0.872 Sm
11.171 0.000 4.610 Sm
16.573 0.000 6.142 Sm
9.107 0.000 0.000 Ga
2.371 0.000 2.739 P
13.847 0.000 5.403 P
1.388 0.000 6.793 Cl
8.109 0.000 4.071 Cl
14.830 0.000 1.349 Cl
```

Calculated values
E: -64.37 eV/cell
symmetry: C2/m (12)


Record 6
Compound: Tb3Ga4Au7
Source: Alexandria via LeMat-Bulk
Functional: GGA-PBE
Structure: relaxed

Geometry as POSCAR:
```
Tb3Ga4Au7
1.0
8.186 -2.196 0.000
8.186 2.196 0.000
-5.253 0.000 7.785
Tb Ga Au
3 4 7
Cartesian
0.000 0.000 0.000 Tb
3.500 0.000 2.527 Tb
7.620 0.000 5.258 Tb
-2.371 0.000 6.547 Ga
1.653 0.000 5.414 Ga
9.467 0.000 2.371 Ga
13.491 0.000 1.238 Ga
-2.626 0.000 3.892 Au
0.188 0.000 3.142 Au
0.133 0.000 7.446 Au
4.342 0.000 5.678 Au
6.778 0.000 2.106 Au
10.987 0.000 0.339 Au
10.931 0.000 4.643 Au
```

Calculated values
E: -57.71 eV/cell
symmetry: C2/m (12)
formation energy from the elements: -60 kJ/mol of atoms


Record 7
Compound: CuAs2Ir
Source: Alexandria via LeMat-Bulk
Functional: GGA-PBE
Structure: relaxed

Geometry as POSCAR:
```
CuAs2Ir
1.0
0.000 3.132 3.132
3.132 0.000 3.132
3.132 3.132 0.000
Cu As Ir
1 2 1
Cartesian
0.000 0.000 0.000 Cu
1.566 1.566 1.566 As
4.697 4.697 4.697 As
3.132 3.132 3.132 Ir
```

Calculated values
energy above the lowest structure with this stoichiometry: 78 meV/atom
E: -21.74 eV/cell
symmetry: Fm-3m (225)
formation energy from the elements: 12 kJ/mol of atoms


Record 8
Compound: SrTaSCl2
Source: Alexandria via LeMat-Bulk
Functional: GGA-PBE
Structure: relaxed

Geometry as POSCAR:
```
SrTaSCl2
1.0
4.954 0.000 0.000
0.000 4.954 0.000
0.000 0.000 4.806
Sr Ta S Cl
1 1 1 2
Cartesian
0.000 0.000 0.000 Sr
2.477 2.477 2.403 Ta
2.477 2.477 0.000 S
0.000 2.477 2.403 Cl
2.477 0.000 2.403 Cl
```

Calculated values
energy above the lowest structure with this stoichiometry: 0 meV/atom
E: -26.16 eV/cell
symmetry: P4/mmm (123)


Record 9
Compound: Er4LuNi10B10C5
Source: Alexandria via LeMat-Bulk
Functional: GGA-PBE
Structure: relaxed

Geometry as POSCAR:
```
Er4LuNi10B10C5
1.0
7.466 -1.743 0.000
7.466 1.743 0.000
-2.453 0.000 12.332
Er Lu Ni B C
4 1 10 10 5
Cartesian
1.254 0.000 1.232 Er
3.758 0.000 3.707 Er
8.721 0.000 8.625 Er
11.225 0.000 11.099 Er
6.239 0.000 6.166 Lu
0.634 0.000 4.318 Ni
-0.593 0.000 10.468 Ni
3.118 0.000 6.789 Ni
4.371 0.000 0.612 Ni
5.610 0.000 9.243 Ni
6.869 0.000 3.088 Ni
8.108 0.000 11.719 Ni
9.360 0.000 5.543 Ni
13.071 0.000 1.863 Ni
11.844 0.000 8.013 Ni
-1.044 0.000 8.432 B
1.075 0.000 6.347 B
1.448 0.000 10.913 B
3.560 0.000 8.821 B
6.414 0.000 1.050 B
6.065 0.000 11.281 B
8.919 0.000 3.510 B
11.031 0.000 1.419 B
11.404 0.000 5.984 B
13.522 0.000 3.899 B
-0.003 0.000 7.371 C
2.502 0.000 9.865 C
7.466 0.000 0.000 C
9.976 0.000 2.466 C
12.481 0.000 4.961 C
```

Calculated values
E: -209.02 eV/cell
symmetry: C2/m (12)
formation energy from the elements: -50 kJ/mol of atoms


Record 10
Compound: NaRuW2
Source: Alexandria via LeMat-Bulk
Functional: GGA-PBE
Structure: relaxed

Geometry as POSCAR:
```
NaRuW2
1.0
-3.729 3.729 2.656
3.729 -3.729 2.656
3.729 3.729 -2.656
Na Ru W
2 2 4
Cartesian
0.000 0.000 0.000 Na
0.000 3.729 1.328 Na
3.729 0.000 1.328 Ru
0.000 0.000 2.656 Ru
1.865 -1.478 1.992 W
2.251 1.865 0.664 W
1.865 5.208 -0.664 W
1.478 1.865 3.320 W
```

Calculated values
energy above the lowest structure with this stoichiometry: 198 meV/atom
E: -63.05 eV/cell
symmetry: I-42d (122)
formation energy from the elements: 120 kJ/mol of atoms


Record 11
Compound: Ba2NaI5
Source: Alexandria via LeMat-Bulk
Functional: GGA-PBE
Structure: relaxed

Geometry as POSCAR:
```
Ba2NaI5
1.0
12.647 0.000 0.000
0.000 5.433 0.000
0.000 0.000 23.598
Ba Na I
8 4 20
Cartesian
1.793 1.358 1.576 Ba
2.352 1.358 17.819 Ba
3.972 4.075 6.020 Ba
4.531 4.075 13.375 Ba
8.116 1.358 10.223 Ba
8.675 1.358 17.578 Ba
10.295 4.075 5.779 Ba
10.854 4.075 22.022 Ba
0.791 1.358 10.197 Na
5.532 4.075 21.996 Na
7.115 1.358 1.602 Na
11.856 4.075 13.401 Na
0.906 4.075 4.028 I
1.521 4.075 23.060 I
1.658 4.075 11.375 I
1.703 4.075 15.627 I
2.632 1.358 7.593 I
3.691 4.075 19.392 I
4.620 1.358 3.828 I
4.665 1.358 23.173 I
4.802 1.358 11.261 I
5.418 1.358 15.827 I
7.229 4.075 7.771 I
7.845 4.075 12.336 I
7.982 4.075 0.424 I
8.027 4.075 19.770 I
8.956 1.358 4.206 I
10.015 4.075 16.005 I
10.944 1.358 7.971 I
10.989 1.358 12.223 I
11.126 1.358 0.537 I
11.741 1.358 19.570 I
```

Calculated values
E: -103.01 eV/cell
symmetry: Pnma (62)


Record 12
Compound: SiHF
Source: Alexandria via LeMat-Bulk
Functional: GGA-PBE
Structure: relaxed

Geometry as POSCAR:
```
SiHF
1.0
5.430 0.000 0.000
0.000 3.993 0.000
-2.633 0.000 4.790
Si H F
2 2 2
Cartesian
0.000 0.000 0.000 Si
0.639 1.996 1.085 Si
0.026 1.996 2.445 H
2.125 1.996 1.216 H
1.183 0.000 4.591 F
3.398 0.000 3.279 F
```

Calculated values
energy above the lowest structure with this stoichiometry: 0 meV/atom
E: -28.72 eV/cell
symmetry: Pm (6)